# CrHg2I8

A relaxed structure of CrHg2I8 (PBE, Alexandria via LeMat-Bulk). Values from VASP.

Cell and atoms, written as Quantum ESPRESSO input:
```
&SYSTEM
  ibrav = 0, nat = 11, ntyp = 3
/
ATOMIC_SPECIES
I 126.90 I.upf
Hg 200.59 Hg.upf
Cr 52.00 Cr.upf
ATOMIC_POSITIONS crystal
I 0.218 0.813 0.307
I 0.211 0.851 0.851
Hg 0.380 0.164 0.164
Hg 0.620 0.836 0.836
I 0.789 0.149 0.149
I 0.218 0.307 0.813
Cr 0.000 0.000 0.000
I 0.782 0.693 0.187
I 0.782 0.187 0.693
I 0.304 0.332 0.332
I 0.696 0.668 0.668
CELL_PARAMETERS angstrom
-2.652 6.351 -2.162
-4.694 -3.475 -6.921
-8.615 -2.789 -0.094
```

Summary:
As for the density: 5.27 g cm⁻³. The uncorrected formation energy comes out at -0.214 eV/atom. The calculation puts the density of states at the Fermi level at 7.74 states/eV/cell. The total energy comes out at -2.2712 eV/atom.


# Tl2SbCl6

A relaxed structure of Tl2SbCl6 (PBE, Alexandria via LeMat-Bulk). Values from VASP.

Cell and atoms, written as Quantum ESPRESSO input:
```
&SYSTEM
  ibrav = 0, nat = 9, ntyp = 3
/
ATOMIC_SPECIES
Cl 35.45 Cl.upf
Sb 121.76 Sb.upf
Tl 204.38 Tl.upf
ATOMIC_POSITIONS crystal
Cl 0.776 0.663 0.169
Sb 0.000 0.000 0.000
Cl 0.773 0.170 0.170
Cl 0.224 0.831 0.337
Cl 0.776 0.169 0.663
Cl 0.227 0.830 0.830
Cl 0.224 0.337 0.831
Tl 0.188 0.332 0.332
Tl 0.812 0.668 0.668
CELL_PARAMETERS angstrom
6.282 0.002 0.001
0.073 7.208 0.000
0.073 3.591 6.249
```

Summary:
As for the density: 4.36 g cm⁻³. The uncorrected formation energy comes out at -0.876 eV/atom. The calculation puts the density of states at the Fermi level at 3.36 states/eV/cell. The total energy comes out at -3.0907 eV/atom.


# Tb3GaIr3

A relaxed structure of Tb3GaIr3 (PBE, Alexandria via LeMat-Bulk). Values from VASP.

Cell and atoms, written as Quantum ESPRESSO input:
```
&SYSTEM
  ibrav = 0, nat = 14, ntyp = 3
/
ATOMIC_SPECIES
Tb 158.93 Tb.upf
Ir 192.22 Ir.upf
Ga 69.72 Ga.upf
ATOMIC_POSITIONS crystal
Tb 0.250 0.037 0.704
Ir 0.250 0.377 0.047
Ir 0.250 0.671 0.623
Tb 0.250 0.296 0.334
Tb 0.250 0.666 0.963
Tb 0.750 0.334 0.037
Tb 0.750 0.704 0.666
Ir 0.750 0.623 0.953
Tb 0.750 0.963 0.296
Ir 0.750 0.329 0.377
Ir 0.250 0.953 0.329
Ir 0.750 0.047 0.671
Ga 0.750 0.333 0.667
Ga 0.250 0.667 0.333
CELL_PARAMETERS angstrom
-4.488 3.306 -0.292
-4.836 -6.296 3.041
3.693 5.485 5.344
```

Summary:
As for the density: 10.68 g cm⁻³. Its formation energy from the elements is -0.452 eV per atom. The calculation puts the density of states at the Fermi level at 7.34 states/eV/cell. The total energy comes out at -6.6665 eV/atom.


# BaLiCd2Tc

A relaxed structure of BaLiCd2Tc (PBE, Alexandria via LeMat-Bulk). Values from VASP.

Cell and atoms, written as Quantum ESPRESSO input:
```
&SYSTEM
  ibrav = 0, nat = 5, ntyp = 4
/
ATOMIC_SPECIES
Ba 137.33 Ba.upf
Tc 98.00 Tc.upf
Li 6.94 Li.upf
Cd 112.41 Cd.upf
ATOMIC_POSITIONS crystal
Ba 0.000 0.000 0.000
Tc 0.500 0.500 0.500
Li 0.000 0.500 0.000
Cd 0.500 0.000 0.000
Cd 0.000 0.000 0.500
CELL_PARAMETERS angstrom
-0.155 5.579 -2.658
-2.173 -2.383 -4.875
-5.737 0.859 2.137
```

Summary:
As for the density: 3.47 g cm⁻³. Its formation energy from the elements is 1.683 eV per atom. The calculation puts the density of states at the Fermi level at 6.72 states/eV/cell. The total energy comes out at -1.5238 eV/atom.


# TbCe4Tm3Se8

A relaxed structure of TbCe4Tm3Se8 (PBE, Alexandria via LeMat-Bulk). Values from VASP.

Cell and atoms, written as Quantum ESPRESSO input:
```
&SYSTEM
  ibrav = 0, nat = 16, ntyp = 4
/
ATOMIC_SPECIES
Se 78.96 Se.upf
Tm 168.93 Tm.upf
Ce 140.12 Ce.upf
Tb 158.93 Tb.upf
ATOMIC_POSITIONS crystal
Se 0.247 0.735 0.494
Tm 0.000 0.500 0.500
Ce 0.500 0.000 0.500
Se 0.754 0.265 0.012
Se 0.258 0.265 0.012
Tm 0.500 0.500 0.000
Ce 0.000 0.000 0.500
Tm 0.500 0.500 0.500
Se 0.742 0.735 0.988
Se 0.753 0.265 0.506
Se 0.246 0.735 0.988
Se 0.744 0.732 0.488
Se 0.256 0.268 0.512
Tb 0.000 0.500 0.000
Ce 0.000 0.000 0.000
Ce 0.500 0.000 0.000
CELL_PARAMETERS angstrom
-3.381 -7.182 1.897
4.804 -0.470 6.783
-4.719 6.565 -1.111
```

Summary:
As for the density: 7.79 g cm⁻³. The uncorrected formation energy comes out at -1.771 eV/atom. The calculation puts the density of states at the Fermi level at 24.88 states/eV/cell. The total energy comes out at -6.1243 eV/atom.


# LiCa2Fe

A relaxed structure of LiCa2Fe (PBE, Alexandria via LeMat-Bulk). Values from VASP.

Cell and atoms, written as Quantum ESPRESSO input:
```
&SYSTEM
  ibrav = 0, nat = 4, ntyp = 3
/
ATOMIC_SPECIES
Ca 40.08 Ca.upf
Li 6.94 Li.upf
Fe 55.84 Fe.upf
ATOMIC_POSITIONS crystal
Ca 0.250 0.250 0.250
Li 0.750 0.750 0.750
Fe 0.500 0.500 0.500
Ca 0.000 0.000 0.000
CELL_PARAMETERS angstrom
-2.149 2.515 -4.040
-2.412 -2.693 -3.768
-5.196 0.238 -0.462
```

Summary:
As for the density: 2.36 g cm⁻³. Its formation energy from the elements is 0.520 eV per atom. The calculation puts the density of states at the Fermi level at 4.09 states/eV/cell. The total energy comes out at -3.0751 eV/atom.


# RbPuBr2

A relaxed structure of RbPuBr2 (PBE, Alexandria via LeMat-Bulk). Values from VASP.

Cell and atoms, written as Quantum ESPRESSO input:
```
&SYSTEM
  ibrav = 0, nat = 4, ntyp = 3
/
ATOMIC_SPECIES
Pu 244.00 Pu.upf
Br 79.90 Br.upf
Rb 85.47 Rb.upf
ATOMIC_POSITIONS crystal
Pu 0.500 0.500 0.000
Br 0.000 0.000 0.225
Rb 0.500 0.500 0.500
Br 0.000 0.000 0.775
CELL_PARAMETERS angstrom
3.790 0.000 0.000
0.000 3.790 0.000
0.000 0.000 8.492
```

Summary:
As for the density: 6.66 g cm⁻³. The uncorrected formation energy comes out at -1.057 eV/atom. The calculation puts the density of states at the Fermi level at 8.12 states/eV/cell. The total energy comes out at -5.7184 eV/atom.


# Li2SbW

A relaxed structure of Li2SbW (PBE, Alexandria via LeMat-Bulk). Values from VASP.

Cell and atoms, written as Quantum ESPRESSO input:
```
&SYSTEM
  ibrav = 0, nat = 4, ntyp = 3
/
ATOMIC_SPECIES
Sb 121.76 Sb.upf
W 183.84 W.upf
Li 6.94 Li.upf
ATOMIC_POSITIONS crystal
Sb 0.500 0.500 0.000
W 0.250 0.750 0.500
Li 0.000 0.000 0.000
Li 0.750 0.250 0.500
CELL_PARAMETERS angstrom
4.995 -0.015 -0.014
1.974 4.588 0.014
-3.477 -2.299 2.753
```

Summary:
As for the density: 8.40 g cm⁻³. The uncorrected formation energy comes out at 0.261 eV/atom. The calculation puts the density of states at the Fermi level at 3.54 states/eV/cell. The total energy comes out at -4.9647 eV/atom.


# Na3NpTe4

A relaxed structure of Na3NpTe4 (PBE, Alexandria via LeMat-Bulk). Values from VASP.

Cell and atoms, written as Quantum ESPRESSO input:
```
&SYSTEM
  ibrav = 0, nat = 8, ntyp = 3
/
ATOMIC_SPECIES
Te 127.60 Te.upf
Na 22.99 Na.upf
Np 237.00 Np.upf
ATOMIC_POSITIONS crystal
Te 0.500 0.232 0.768
Te 0.000 0.772 0.772
Na 0.000 0.500 0.000
Te 0.500 0.768 0.232
Np 0.500 0.000 0.000
Na 0.000 0.000 0.500
Te 0.000 0.228 0.228
Na 0.500 0.500 0.500
CELL_PARAMETERS angstrom
-4.117 -0.172 1.834
-2.694 -3.591 -6.387
2.488 -5.380 5.081
```

Summary:
As for the density: 5.22 g cm⁻³. The uncorrected formation energy comes out at -0.740 eV/atom. The calculation puts the density of states at the Fermi level at 5.44 states/eV/cell. The total energy comes out at -4.4229 eV/atom.


# LaNd12Y6

A relaxed structure of LaNd12Y6 (PBE, Alexandria via LeMat-Bulk). Values from VASP.

Cell and atoms, written as Quantum ESPRESSO input:
```
&SYSTEM
  ibrav = 0, nat = 19, ntyp = 3
/
ATOMIC_SPECIES
Nd 144.24 Nd.upf
Y 88.91 Y.upf
La 138.91 La.upf
ATOMIC_POSITIONS crystal
Nd 0.757 0.243 0.500
Nd 0.352 0.078 0.352
Nd 0.500 0.243 0.757
Y 0.663 0.102 0.102
Y 0.102 0.102 0.663
Y 0.898 0.337 0.898
Nd 0.243 0.500 0.757
Nd 0.648 0.648 0.922
Nd 0.352 0.352 0.078
Y 0.337 0.898 0.898
Nd 0.757 0.500 0.243
La 0.000 0.000 0.000
Nd 0.243 0.757 0.500
Y 0.898 0.898 0.337
Nd 0.500 0.757 0.243
Nd 0.078 0.352 0.352
Nd 0.648 0.922 0.648
Nd 0.922 0.648 0.648
Y 0.102 0.663 0.102
CELL_PARAMETERS angstrom
8.833 -0.231 -1.279
-1.444 8.717 -1.279
-0.201 -0.231 8.922
```

Summary:
As for the density: 5.88 g cm⁻³. Its formation energy from the elements is 0.185 eV per atom. The calculation puts the density of states at the Fermi level at 38.63 states/eV/cell. The total energy comes out at -5.1269 eV/atom.


# SrCa4Cu

A relaxed structure of SrCa4Cu (PBE, Alexandria via LeMat-Bulk). Values from VASP.

Cell and atoms, written as Quantum ESPRESSO input:
```
&SYSTEM
  ibrav = 0, nat = 6, ntyp = 3
/
ATOMIC_SPECIES
Sr 87.62 Sr.upf
Ca 40.08 Ca.upf
Cu 63.55 Cu.upf
ATOMIC_POSITIONS crystal
Sr 0.000 0.000 0.000
Ca 0.375 0.375 0.375
Ca 0.375 0.375 0.875
Cu 0.750 0.750 0.750
Ca 0.875 0.375 0.375
Ca 0.375 0.875 0.375
CELL_PARAMETERS angstrom
4.465 5.289 1.506
-1.283 4.256 5.515
4.090 -0.353 5.772
```

Summary:
As for the density: 2.06 g cm⁻³. Its formation energy from the elements is 0.416 eV per atom. The calculation puts the density of states at the Fermi level at 5.86 states/eV/cell. The total energy comes out at -1.8810 eV/atom.


# Al3Sb2

A relaxed structure of Al3Sb2 (PBE, Alexandria via LeMat-Bulk). Values from VASP.

Cell and atoms, written as Quantum ESPRESSO input:
```
&SYSTEM
  ibrav = 0, nat = 5, ntyp = 2
/
ATOMIC_SPECIES
Al 26.98 Al.upf
Sb 121.76 Sb.upf
ATOMIC_POSITIONS crystal
Al 0.000 0.000 0.000
Sb 0.333 0.667 0.780
Sb 0.667 0.333 0.220
Al 0.667 0.333 0.655
Al 0.333 0.667 0.345
CELL_PARAMETERS angstrom
-4.058 0.661 2.280
1.493 -4.360 -0.925
3.177 -0.120 5.690
```

Summary:
As for the density: 4.32 g cm⁻³. The uncorrected formation energy comes out at 0.170 eV/atom. The calculation puts the density of states at the Fermi level at 1.73 states/eV/cell. The total energy comes out at -3.7249 eV/atom.